{"formula": "Si2Ag6O7", "functional": "GGA-PBE", "state": "relaxed", "energy_ha_per_atom": -0.1943, "lattice_angstrom": [[8.006, 0.000, 0.000], [0.000, 5.274, 0.000], [-4.521, 0.000, 9.608]], "species": ["Si", "Si", "Si", "Si", "Ag", "Ag", "Ag", "Ag", "Ag", "Ag", "Ag", "Ag", "Ag", "Ag", "Ag", "Ag", "O", "O", "O", "O", "O", "O", "O", "O", "O", "O", "O", "O", "O", "O"], "frac_coords": [[0.200, 0.244, 0.363], [0.200, 0.756, 0.863], [0.800, 0.244, 0.137], [0.800, 0.756, 0.637], [0.067, 0.225, 0.609], [0.067, 0.775, 0.109], [0.313, 0.187, 0.102], [0.313, 0.813, 0.602], [0.444, 0.246, 0.860], [0.444, 0.754, 0.360], [0.556, 0.246, 0.640], [0.556, 0.754, 0.140], [0.687, 0.187, 0.398], [0.687, 0.813, 0.898], [0.933, 0.225, 0.891], [0.933, 0.775, 0.391], [0.000, 0.363, 0.250], [0.000, 0.637, 0.750], [0.183, 0.069, 0.868], [0.183, 0.931, 0.368], [0.247, 0.367, 0.517], [0.247, 0.633, 0.017], [0.359, 0.323, 0.313], [0.359, 0.677, 0.813], [0.641, 0.323, 0.187], [0.641, 0.677, 0.687], [0.753, 0.367, 0.983], [0.753, 0.633, 0.483], [0.817, 0.069, 0.632], [0.817, 0.931, 0.132]]}